Entry 1:
Li2Sc2Ag: optimized geometry, PBE.

Unit cell a=9.2077 b=9.2077 c=9.2077 alpha=158.57 beta=158.57 gamma=30.49
Closest atoms and distances in Å follow each position.
Fractional positions:
Li: 0.2500 0.7500 0.5000  4 Li 2.42
Li: 0.7500 0.2500 0.5000  4 Li 2.42
Sc: 0.0966 0.0966 0.0000  4 Ag 2.97, 4 Li 3.22
Sc: 0.9034 0.9034 0.0000  4 Ag 2.97, 4 Li 3.22
Ag: 0.5000 0.5000 0.0000  8 Sc 2.97

DFT total energy = -3.721 eV per atom
Distance to the lowest polymorph of the same formula = 28 kJ/mol of formula units
Spin magnetization = 0.00 μB per atom
Energy of formation = 0.147 eV/atom

=====

Entry 2:
Ac3In4Pt2: optimized geometry, PBE.

Unit cell a=6.5534 b=6.5534 c=9.6398 alpha=111.74 beta=111.74 gamma=42.01
Closest atoms and distances in Å follow each position.
Fractional positions:
Ac: 0.0000 0.0000 0.0000  8 In 3.31-3.65, 4 Pt 3.37
Ac: 0.3118 0.3118 0.3692  3 Pt 3.21-3.27, 7 In 3.42-3.58
Ac: 0.6882 0.6882 0.6308  3 Pt 3.21-3.27, 7 In 3.42-3.58
In: 0.0136 0.0136 0.3494  2 Pt 2.86, 1 In 3.05
In: 0.2534 0.2534 0.9100  1 Pt 2.86, 2 In 2.94
In: 0.7466 0.7466 0.0900  1 Pt 2.86, 2 In 2.94
In: 0.9864 0.9864 0.6506  2 Pt 2.86, 1 In 3.05
Pt: 0.3904 0.3904 0.7294  3 In 2.86
Pt: 0.6096 0.6096 0.2706  3 In 2.86

DFT total energy = -4.674 eV per atom
Spin magnetization = 0.00 μB per atom
Energy of formation = -0.745 eV/atom

=====

Entry 3:
ErTm3Hg: optimized geometry, PBE.

Unit cell a=6.5701 b=6.5701 c=7.8164 alpha=107.03 beta=107.03 gamma=66.58
Closest atoms and distances in Å follow each position.
Fractional positions:
Er: 0.0601 0.0601 0.2397  2 Hg 3.27-3.28, 8 Tm 3.40-3.61, 1 Er 3.51
Er: 0.9399 0.9399 0.7603  2 Hg 3.27-3.28, 8 Tm 3.40-3.61, 1 Er 3.51
Tm: 0.0907 0.5904 0.3616  2 Hg 3.20, 5 Tm 3.40-3.42, 3 Er 3.40-3.43
Tm: 0.4096 0.9093 0.6384  2 Hg 3.20, 5 Tm 3.40-3.42, 3 Er 3.40-3.43
Tm: 0.4395 0.4395 0.7593  2 Hg 3.24-3.25, 7 Tm 3.40-3.52, 2 Er 3.61
Tm: 0.5605 0.5605 0.2407  2 Hg 3.24-3.25, 7 Tm 3.40-3.52, 2 Er 3.61
Tm: 0.5904 0.0907 0.3616  2 Hg 3.20, 5 Tm 3.40-3.42, 3 Er 3.40-3.43
Tm: 0.9093 0.4096 0.6384  2 Hg 3.20, 5 Tm 3.40-3.42, 3 Er 3.40-3.43
Hg: 0.2515 0.2515 0.9999  6 Tm 3.20-3.25, 2 Er 3.27-3.28
Hg: 0.7485 0.7485 0.0001  6 Tm 3.20-3.25, 2 Er 3.27-3.28

DFT total energy = -3.776 eV per atom
Spin magnetization = 0.00 μB per atom
Energy of formation = -0.120 eV/atom

=====

Entry 4:
MgTi3Ag: optimized geometry, PBE.

Unit cell a=4.9078 b=4.9078 c=4.9078 alpha=90.00 beta=90.00 gamma=90.00
Closest atoms and distances in Å follow each position.
Fractional positions:
Mg: 0.0000 0.0000 0.0000  12 Ti 3.47
Ti: 0.0000 0.5000 0.5000  2 Ag 2.45
Ti: 0.5000 0.0000 0.5000  2 Ag 2.45
Ti: 0.5000 0.5000 0.0000  2 Ag 2.45
Ag: 0.5000 0.5000 0.5000  6 Ti 2.45

DFT total energy = -4.615 eV per atom
Distance to the lowest polymorph of the same formula = 0 kJ/mol of formula units
Spin magnetization = 0.00 μB per atom
Energy of formation = 1.012 eV/atom